[1]
Compound: KSn2Pb
Source: the Alexandria database
Functional: PBE-GGA
Structure: relaxed

The structure in POSCAR format:
```
KSn2Pb
1.0
3.728 0.000 0.000
1.864 3.228 0.000
1.864 1.076 10.913
K Sn Pb
1 2 1
Cartesian
3.728 2.152 5.457
1.864 1.076 2.474
5.592 3.228 8.439
0.000 0.000 0.000
```

Summary:
ΔH_f (0 K), kJ/mol of formula units: 12
Space group: No. 166
Volume, Å³/atom: 32.83

=====

[2]
Compound: K2SnPb7
Source: the Alexandria database
Functional: PBE-GGA
Structure: relaxed

The structure in POSCAR format:
```
K2SnPb7
1.0
-0.371 1.181 -4.946
4.860 -1.377 -0.694
-4.202 -13.374 -2.879
K Pb Sn
2 7 1
Cartesian
-3.355 -9.499 -4.645
1.398 -3.973 -1.054
-1.695 -4.214 -3.507
-1.201 -12.246 -2.834
-0.757 -1.226 -2.864
0.143 -6.785 -4.259
-2.101 -6.687 -1.439
-0.263 -9.258 -2.191
0.000 0.000 0.000
2.244 -0.098 -2.820
```

Summary:
ΔH_f (0 K), kJ/mol of formula units: -73
Space group: No. 115
Volume, Å³/atom: 37.20

=====

[3]
Compound: K2Sn7Pb
Source: the Alexandria database
Functional: PBE-GGA
Structure: relaxed

The structure in POSCAR format:
```
K2Sn7Pb
1.0
-0.036 5.374 0.949
-5.174 -0.334 1.700
3.657 -1.876 10.762
K Sn Pb
2 7 1
Cartesian
-1.665 -0.641 3.565
2.717 1.284 8.521
-0.776 1.581 6.705
0.444 2.450 1.834
-0.337 -1.321 7.471
1.390 1.965 4.616
0.000 0.000 0.000
0.608 -1.806 10.253
1.829 -0.938 5.381
-2.605 2.520 1.325
```

Summary:
ΔH_f (0 K), kJ/mol of formula units: -103
Space group: No. 115
Volume, Å³/atom: 34.30

=====

[4]
Compound: KSn2Pb2
Source: the Alexandria database
Functional: PBE-GGA
Structure: relaxed

The structure in POSCAR format:
```
KSn2Pb2
1.0
-6.339 -0.969 6.353
-1.038 -8.652 -2.355
2.950 -1.109 2.774
K Pb Sn
2 4 4
Cartesian
-3.689 -4.811 1.999
0.000 0.000 0.000
-0.126 -6.292 0.796
-0.917 -2.166 3.286
-3.510 -8.565 3.486
-4.301 -4.439 5.976
-6.210 -6.234 4.111
-3.306 -7.961 0.333
-4.071 -1.660 3.665
-1.167 -3.387 -0.114
```

Summary:
ΔH_f (0 K), kJ/mol of formula units: -35
Space group: No. 127
Volume, Å³/atom: 34.21

=====

[5]
Compound: KSnPb3
Source: the Alexandria database
Functional: PBE-GGA
Structure: relaxed

The structure in POSCAR format:
```
KSnPb3
1.0
7.129 0.000 0.001
0.001 7.140 0.000
0.001 0.001 7.077
Sn Pb K
2 6 2
Cartesian
0.913 5.528 4.958
4.477 4.132 1.420
2.347 1.998 1.421
3.374 6.545 3.189
6.939 3.115 3.191
3.374 6.545 6.729
6.939 3.115 6.728
5.912 0.522 4.960
6.951 6.658 1.422
3.388 3.004 4.961
```

Summary:
ΔH_f (0 K), kJ/mol of formula units: -38
Space group: No. 31
Volume, Å³/atom: 36.02

=====

[6]
Compound: K4SnPb4
Source: the Alexandria database
Functional: PBE-GGA
Structure: relaxed

The structure in POSCAR format:
```
K4SnPb4
1.0
7.215 0.000 0.000
-3.607 7.477 3.359
0.000 0.000 6.719
Pb K Sn
4 4 1
Cartesian
1.382 1.303 2.425
-2.226 6.174 7.653
5.833 1.303 4.294
2.226 6.174 5.784
1.376 5.048 8.886
-1.376 5.048 4.552
2.232 2.429 5.526
4.983 2.429 1.193
0.000 0.000 0.000
```

Summary:
ΔH_f (0 K), kJ/mol of formula units: -87
Space group: No. 23
Volume, Å³/atom: 40.27

=====

[7]
Compound: K2Sn4Pb5
Source: the Alexandria database
Functional: PBE-GGA
Structure: relaxed

The structure in POSCAR format:
```
K2Sn4Pb5
1.0
6.906 0.000 0.000
3.453 7.963 -0.807
3.453 1.273 6.666
Pb K Sn
5 2 4
Cartesian
5.118 2.516 5.452
8.695 6.721 0.407
5.118 6.721 0.407
3.453 4.618 2.929
8.695 2.516 5.452
6.906 2.424 2.209
6.906 6.813 3.649
10.360 7.806 4.020
3.453 1.430 1.839
3.453 3.681 -0.148
10.360 5.556 6.007
```

Summary:
ΔH_f (0 K), kJ/mol of formula units: -29
Space group: No. 12
Volume, Å³/atom: 33.97

=====

[8]
Compound: K2Sn3Pb2
Source: the Alexandria database
Functional: PBE-GGA
Structure: relaxed

The structure in POSCAR format:
```
K2Sn3Pb2
1.0
5.178 0.000 0.000
-2.589 6.484 -0.095
0.000 -3.533 7.295
Sn Pb K
3 2 2
Cartesian
0.000 3.341 4.099
2.589 0.000 0.000
2.589 -0.390 3.102
2.589 1.952 5.265
0.000 0.999 1.936
0.000 -0.815 5.733
2.589 3.765 1.467
```

Summary:
ΔH_f (0 K), kJ/mol of formula units: -99
Space group: No. 12
Volume, Å³/atom: 34.74

=====

- The highest volume belongs to which entry?
  K4SnPb4

=====

- What is the ΔH_f (0 K) in the seventh record?
  -29 kJ/mol of formula units

=====

- ΔH_f (0 K) of number 3 (K2Sn7Pb)?
  -103 kJ/mol of formula units